No. 1
First-principles (GGA-PBE) data for a relaxed structure of Al3Se, as listed in the Alexandria database.

Lattice parameters (Å, degrees): 6.014 7.238 3.352 90.00 90.00 90.00
Fractional coordinates of all 8 atoms:
Al1 0.000 0.000 0.000
Al2 0.250 0.250 0.500
Al3 0.250 0.750 0.500
Al4 0.500 0.500 0.000
Al5 0.750 0.250 0.500
Al6 0.750 0.750 0.500
Se1 0.000 0.500 0.000
Se2 0.500 0.000 0.000

Its density of states at the Fermi level is 1.06 states/eV/f.u. As for the uncorrected formation energy: 0.20 eV per formula unit.



No. 2
First-principles (GGA-PBE) data for a relaxed structure of InSiNO2, as listed in the Alexandria database.

Lattice parameters (Å, degrees): 3.456 3.456 4.106 90.00 90.00 90.00
Fractional coordinates of all 5 atoms:
In1 0.000 0.000 0.000
Si1 0.500 0.500 0.500
N1 0.500 0.500 0.000
O1 0.000 0.500 0.500
O2 0.500 0.000 0.500

Its density of states at the Fermi level is 0.26 states/eV/f.u. As for the uncorrected formation energy: -5.22 eV per formula unit.



No. 3
First-principles (GGA-PBE) data for a relaxed structure of Mg2AlPd2, as listed in the Alexandria database.

Lattice parameters (Å, degrees): 7.561 7.561 2.956 90.00 90.00 90.00
Fractional coordinates of all 10 atoms:
Mg1 0.134 0.366 0.000
Mg2 0.366 0.866 0.000
Mg3 0.634 0.134 0.000
Mg4 0.866 0.634 0.000
Al1 0.000 0.000 0.000
Al2 0.500 0.500 0.000
Pd1 0.164 0.664 0.500
Pd2 0.336 0.164 0.500
Pd3 0.664 0.836 0.500
Pd4 0.836 0.336 0.500

Its density of states at the Fermi level is 1.29 states/eV/f.u. For the offset from the most stable computed form, the calculation gives 0.226 eV/atom.



No. 4
First-principles (GGA-PBE) data for a relaxed structure of Ac4AlAg, as listed in the Alexandria database.

Lattice parameters (Å, degrees): 5.473 5.473 7.856 90.00 90.00 90.00
Fractional coordinates of all 6 atoms:
Ac1 0.000 0.500 0.249
Ac2 0.000 0.500 0.751
Ac3 0.500 0.000 0.249
Ac4 0.500 0.000 0.751
Al1 0.000 0.000 0.000
Ag1 0.500 0.500 0.500

Its density of states at the Fermi level is 8.32 states/eV/f.u. For the offset from the most stable computed form, the calculation gives 0.100 eV/atom.



No. 5
First-principles (GGA-PBE) data for a relaxed structure of Mg2TlNi, as listed in the Alexandria database.

Lattice parameters (Å, degrees): 4.162 4.162 19.301 90.00 90.00 90.00
Fractional coordinates of all 16 atoms:
Mg1 0.230 0.250 0.125
Mg2 0.250 0.730 0.375
Mg3 0.250 0.770 0.875
Mg4 0.270 0.250 0.625
Mg5 0.730 0.750 0.625
Mg6 0.750 0.230 0.875
Mg7 0.750 0.270 0.375
Mg8 0.770 0.750 0.125
Tl1 0.000 0.000 0.500
Tl2 0.000 0.500 0.750
Tl3 0.500 0.000 0.250
Tl4 0.500 0.500 0.000
Ni1 0.000 0.000 0.000
Ni2 0.000 0.500 0.250
Ni3 0.500 0.000 0.750
Ni4 0.500 0.500 0.500

Its density of states at the Fermi level is 1.92 states/eV/f.u. Its energy is -2.546 eV/atom.



No. 6
First-principles (GGA-PBE) data for a relaxed structure of Sr3La4Tl4, as listed in the Alexandria database.

Lattice parameters (Å, degrees): 10.143 10.143 10.143 147.70 132.71 58.43
Fractional coordinates of all 11 atoms:
Sr1 0.000 0.000 0.000
Sr2 0.391 0.891 0.500
Sr3 0.609 0.109 0.500
La1 0.032 0.325 0.707
La2 0.382 0.675 0.707
La3 0.618 0.325 0.293
La4 0.968 0.675 0.293
Tl1 0.197 0.197 0.000
Tl2 0.311 0.500 0.811
Tl3 0.689 0.500 0.189
Tl4 0.803 0.803 0.000

Its density of states at the Fermi level is 8.75 states/eV/f.u. Its energy is -3.351 eV/atom.



No. 7
First-principles (GGA-PBE) data for a relaxed structure of IrAuSe2, as listed in the Alexandria database.

Lattice parameters (Å, degrees): 2.856 5.210 10.427 90.00 90.00 90.00
Fractional coordinates of all 8 atoms:
Ir1 0.000 0.000 0.000
Ir2 0.500 0.500 0.000
Au1 0.000 0.500 0.231
Au2 0.500 0.000 0.231
Se1 0.000 0.000 0.473
Se2 0.000 0.500 0.806
Se3 0.500 0.000 0.806
Se4 0.500 0.500 0.473

Its density of states at the Fermi level is 2.39 states/eV/f.u. As for the uncorrected formation energy: 1.54 eV per formula unit.



No. 8
First-principles (GGA-PBE) data for a relaxed structure of Er2MgTcC, as listed in the Alexandria database.

Lattice parameters (Å, degrees): 4.946 4.946 4.016 90.00 90.00 90.00
Fractional coordinates of all 5 atoms:
Er1 0.000 0.500 0.000
Er2 0.500 0.000 0.000
Mg1 0.000 0.000 0.500
Tc1 0.500 0.500 0.500
C1 0.500 0.500 0.000

Its density of states at the Fermi level is 2.53 states/eV/f.u. Its energy is -6.308 eV/atom.



No. 9
First-principles (GGA-PBE) data for a relaxed structure of LaErPb, as listed in the Alexandria database.

Lattice parameters (Å, degrees): 4.207 4.207 10.308 90.00 90.00 90.00
Fractional coordinates of all 6 atoms:
La1 0.000 0.000 0.000
La2 0.500 0.500 0.500
Er1 0.000 0.000 0.312
Er2 0.500 0.500 0.812
Pb1 0.000 0.000 0.669
Pb2 0.500 0.500 0.169

Its density of states at the Fermi level is 4.16 states/eV/f.u. For the offset from the most stable computed form, the calculation gives 0.204 eV/atom.



No. 10
First-principles (GGA-PBE) data for a relaxed structure of TcAsRh3, as listed in the Alexandria database.

Lattice parameters (Å, degrees): 4.525 4.525 4.525 90.00 90.00 90.00
Fractional coordinates of all 5 atoms:
Tc1 0.000 0.000 0.000
As1 0.500 0.500 0.500
Rh1 0.000 0.500 0.500
Rh2 0.500 0.000 0.500
Rh3 0.500 0.500 0.000

Its density of states at the Fermi level is 1.17 states/eV/f.u. For the offset from the most stable computed form, the calculation gives 0.000 eV/atom.



No. 11
First-principles (GGA-PBE) data for a relaxed structure of AsWCl2, as listed in the Alexandria database.

Lattice parameters (Å, degrees): 3.728 3.210 7.855 90.00 103.37 90.00
Fractional coordinates of all 4 atoms:
As1 0.000 0.000 0.000
W1 0.562 0.500 0.120
Cl1 0.386 0.500 0.786
Cl2 0.676 0.000 0.363

Its density of states at the Fermi level is 3.39 states/eV/f.u. For the offset from the most stable computed form, the calculation gives 0.152 eV/atom. As for the uncorrected formation energy: -0.40 eV per formula unit.



No. 12
First-principles (GGA-PBE) data for a relaxed structure of K2Al2H, as listed in the Alexandria database.

Lattice parameters (Å, degrees): 3.781 3.781 19.194 90.00 90.00 90.00
Fractional coordinates of all 10 atoms:
K1 0.000 0.000 0.087
K2 0.000 0.000 0.913
K3 0.500 0.500 0.413
K4 0.500 0.500 0.587
Al1 0.000 0.500 0.250
Al2 0.000 0.500 0.750
Al3 0.500 0.000 0.250
Al4 0.500 0.000 0.750
H1 0.000 0.000 0.500
H2 0.500 0.500 0.000

Its density of states at the Fermi level is 1.01 states/eV/f.u. For the offset from the most stable computed form, the calculation gives 0.000 eV/atom.



No. 13
First-principles (GGA-PBE) data for a relaxed structure of La6Ga3Pt, as listed in the Alexandria database.

Lattice parameters (Å, degrees): 9.405 11.576 5.365 90.00 90.00 90.00
Fractional coordinates of all 20 atoms:
La1 0.002 0.244 0.000
La2 0.165 0.938 0.500
La3 0.169 0.554 0.500
La4 0.331 0.054 0.000
La5 0.335 0.438 0.000
La6 0.498 0.744 0.500
La7 0.502 0.256 0.500
La8 0.665 0.562 0.000
La9 0.669 0.946 0.000
La10 0.831 0.446 0.500
La11 0.835 0.062 0.500
La12 0.998 0.756 0.000
Ga1 0.000 0.500 0.000
Ga2 0.170 0.254 0.500
Ga3 0.330 0.754 0.000
Ga4 0.500 0.000 0.500
Ga5 0.670 0.246 0.000
Ga6 0.830 0.746 0.500
Pt1 0.000 0.000 0.000
Pt2 0.500 0.500 0.500

Its density of states at the Fermi level is 9.17 states/eV/f.u. Its energy is -5.012 eV/atom.



No. 14
First-principles (GGA-PBE) data for a relaxed structure of TiCr2Si2, as listed in the Alexandria database.

Lattice parameters (Å, degrees): 6.595 6.595 2.996 90.00 90.00 90.00
Fractional coordinates of all 10 atoms:
Ti1 0.000 0.000 0.000
Ti2 0.500 0.500 0.000
Cr1 0.162 0.338 0.500
Cr2 0.338 0.838 0.500
Cr3 0.662 0.162 0.500
Cr4 0.838 0.662 0.500
Si1 0.132 0.632 0.000
Si2 0.368 0.132 0.000
Si3 0.632 0.868 0.000
Si4 0.868 0.368 0.000

Its density of states at the Fermi level is 4.97 states/eV/f.u. As for the uncorrected formation energy: -1.71 eV per formula unit.



No. 15
First-principles (GGA-PBE) data for a relaxed structure of BaCa2Re, as listed in the Alexandria database.

Lattice parameters (Å, degrees): 3.406 5.360 15.763 90.00 90.00 90.00
Fractional coordinates of all 8 atoms:
Ba1 0.000 0.000 0.000
Ba2 0.500 0.500 0.500
Ca1 0.000 0.000 0.682
Ca2 0.000 0.500 0.832
Ca3 0.500 0.000 0.332
Ca4 0.500 0.500 0.182
Re1 0.000 0.500 0.335
Re2 0.500 0.000 0.835

Its density of states at the Fermi level is 4.37 states/eV/f.u. For the offset from the most stable computed form, the calculation gives 0.023 eV/atom.



No. 16
First-principles (GGA-PBE) data for a relaxed structure of Mg2FePb, as listed in the Alexandria database.

Lattice parameters (Å, degrees): 4.036 4.036 20.078 90.00 90.00 90.00
Fractional coordinates of all 16 atoms:
Mg1 0.228 0.250 0.125
Mg2 0.250 0.728 0.375
Mg3 0.250 0.772 0.875
Mg4 0.272 0.250 0.625
Mg5 0.728 0.750 0.625
Mg6 0.750 0.228 0.875
Mg7 0.750 0.272 0.375
Mg8 0.772 0.750 0.125
Fe1 0.000 0.000 0.000
Fe2 0.000 0.500 0.250
Fe3 0.500 0.000 0.750
Fe4 0.500 0.500 0.500
Pb1 0.000 0.000 0.500
Pb2 0.000 0.500 0.750
Pb3 0.500 0.000 0.250
Pb4 0.500 0.500 0.000

Its density of states at the Fermi level is 5.49 states/eV/f.u. Its energy is -3.189 eV/atom.



No. 17
First-principles (GGA-PBE) data for a relaxed structure of Ca2YMo, as listed in the Alexandria database.

Lattice parameters (Å, degrees): 4.081 4.952 10.941 90.00 90.00 90.00
Fractional coordinates of all 8 atoms:
Ca1 0.000 0.000 0.210
Ca2 0.000 0.000 0.790
Ca3 0.500 0.500 0.210
Ca4 0.500 0.500 0.790
Y1 0.000 0.500 0.500
Y2 0.500 0.000 0.500
Mo1 0.000 0.500 0.000
Mo2 0.500 0.000 0.000

Its density of states at the Fermi level is 4.65 states/eV/f.u. For the offset from the most stable computed form, the calculation gives 0.220 eV/atom.



No. 18
First-principles (GGA-PBE) data for a relaxed structure of MnAl3P, as listed in the Alexandria database.

Lattice parameters (Å, degrees): 4.599 4.599 4.599 90.00 90.00 90.00
Fractional coordinates of all 5 atoms:
Mn1 0.000 0.000 0.000
Al1 0.000 0.000 0.500
Al2 0.000 0.500 0.000
Al3 0.500 0.000 0.000
P1 0.500 0.500 0.500

Its density of states at the Fermi level is 3.87 states/eV/f.u. For the offset from the most stable computed form, the calculation gives 0.000 eV/atom.



No. 19
First-principles (GGA-PBE) data for a relaxed structure of KH2Br3, as listed in the Alexandria database.

Lattice parameters (Å, degrees): 7.094 7.094 7.819 108.65 108.65 71.65
Fractional coordinates of all 12 atoms:
K1 0.241 0.759 0.750
K2 0.759 0.241 0.250
H1 0.088 0.687 0.285
H2 0.313 0.912 0.215
H3 0.687 0.088 0.785
H4 0.912 0.313 0.715
Br1 0.120 0.265 0.665
Br2 0.265 0.120 0.165
Br3 0.358 0.642 0.250
Br4 0.642 0.358 0.750
Br5 0.735 0.880 0.835
Br6 0.880 0.735 0.335

Its density of states at the Fermi level is 0.00 states/eV/f.u. Its energy is -2.886 eV/atom.



No. 20
First-principles (GGA-PBE) data for a relaxed structure of Pm4Nd2SmTl2, as listed in the Alexandria database.

Lattice parameters (Å, degrees): 6.494 6.806 8.395 66.56 79.35 61.85
Fractional coordinates of all 9 atoms:
Pm1 0.095 0.477 0.275
Pm2 0.196 0.024 0.121
Pm3 0.804 0.976 0.879
Pm4 0.905 0.523 0.725
Nd1 0.322 0.980 0.680
Nd2 0.678 0.020 0.320
Sm1 0.500 0.500 0.500
Tl1 0.355 0.451 0.904
Tl2 0.645 0.549 0.096

Its density of states at the Fermi level is 11.27 states/eV/f.u. Its energy is -4.305 eV/atom.



No. 21
First-principles (GGA-PBE) data for a relaxed structure of Li2AlAuN, as listed in the Alexandria database.

Lattice parameters (Å, degrees): 4.137 4.137 3.732 90.00 90.00 90.00
Fractional coordinates of all 5 atoms:
Li1 0.000 0.500 0.000
Li2 0.500 0.000 0.000
Al1 0.000 0.000 0.500
Au1 0.500 0.500 0.500
N1 0.000 0.000 0.000

Its density of states at the Fermi level is 1.93 states/eV/f.u. As for the uncorrected formation energy: -2.77 eV per formula unit.



No. 22
First-principles (GGA-PBE) data for a relaxed structure of LaY3Ru, as listed in the Alexandria database.

Lattice parameters (Å, degrees): 7.675 7.675 7.675 120.86 89.86 119.32
Fractional coordinates of all 10 atoms:
La1 0.321 0.071 0.250
La2 0.679 0.929 0.750
Y1 0.223 0.473 0.750
Y2 0.231 0.000 0.731
Y3 0.231 0.500 0.231
Y4 0.769 0.000 0.269
Y5 0.769 0.500 0.769
Y6 0.777 0.527 0.250
Ru1 0.000 0.500 0.500
Ru2 0.500 0.500 0.000

Its density of states at the Fermi level is 3.73 states/eV/f.u. For the offset from the most stable computed form, the calculation gives 0.070 eV/atom.



No. 23
First-principles (GGA-PBE) data for a relaxed structure of Na2NdInSb2, as listed in the Alexandria database.

Lattice parameters (Å, degrees): 4.412 9.420 8.832 90.00 90.00 90.00
Fractional coordinates of all 12 atoms:
Na1 0.000 0.081 0.000
Na2 0.000 0.919 0.500
Na3 0.500 0.192 0.293
Na4 0.500 0.808 0.793
Nd1 0.500 0.435 0.874
Nd2 0.500 0.565 0.374
In1 0.000 0.262 0.556
In2 0.000 0.738 0.056
Sb1 0.000 0.430 0.147
Sb2 0.000 0.570 0.647
Sb3 0.500 0.133 0.742
Sb4 0.500 0.867 0.242

Its density of states at the Fermi level is 0.79 states/eV/f.u. As for the uncorrected formation energy: -3.12 eV per formula unit.



No. 24
First-principles (GGA-PBE) data for a relaxed structure of Mg5Si6, as listed in the Alexandria database.

Lattice parameters (Å, degrees): 7.920 7.920 6.977 109.58 109.58 29.18
Fractional coordinates of all 11 atoms:
Mg1 0.000 0.000 0.000
Mg2 0.343 0.343 0.062
Mg3 0.422 0.422 0.627
Mg4 0.578 0.578 0.373
Mg5 0.657 0.657 0.938
Si1 0.056 0.056 0.668
Si2 0.191 0.191 0.261
Si3 0.208 0.208 0.636
Si4 0.792 0.792 0.364
Si5 0.809 0.809 0.739
Si6 0.944 0.944 0.332

Its density of states at the Fermi level is 4.31 states/eV/f.u. For the offset from the most stable computed form, the calculation gives 0.000 eV/atom. As for the uncorrected formation energy: 0.28 eV per formula unit.



No. 25
First-principles (GGA-PBE) data for a relaxed structure of Dy2ErTh, as listed in the Alexandria database.

Lattice parameters (Å, degrees): 3.558 3.558 34.504 90.00 90.00 120.00
Fractional coordinates of all 12 atoms:
Dy1 0.000 0.000 0.249
Dy2 0.000 0.000 0.751
Dy3 0.333 0.667 0.417
Dy4 0.333 0.667 0.916
Dy5 0.667 0.333 0.084
Dy6 0.667 0.333 0.583
Er1 0.000 0.000 0.000
Er2 0.333 0.667 0.667
Er3 0.667 0.333 0.333
Th1 0.000 0.000 0.500
Th2 0.333 0.667 0.167
Th3 0.667 0.333 0.833

Its density of states at the Fermi level is 6.05 states/eV/f.u. For the offset from the most stable computed form, the calculation gives 0.000 eV/atom.